# 1
{"formula": "PmPrTlRu", "functional": "PBE-GGA", "state": "relaxed", "lattice": [[-4.202, 0.243, -3.144], [-4.310, -2.773, 1.157], [-4.351, 2.461, 1.617]], "species": ["Pm", "Tl", "Pr", "Ru"], "frac_coords": [[0.500, 0.500, 0.500], [0.750, 0.750, 0.750], [0.000, 0.000, 0.000], [0.250, 0.250, 0.250]], "ef_ev_per_atom": -0.141, "final_energy_ev_per_atom": -5.434, "e_above_lowest_polymorph_mev_per_atom": 129, "sg": "No. 216"}

=====

# 2
{"formula": "K2HgBiO", "functional": "PBE-GGA", "state": "relaxed", "lattice": [[-2.616, -4.081, -2.606], [3.332, 0.632, -4.335], [3.040, -3.148, 1.877]], "species": ["Bi", "K", "K", "O", "Hg"], "frac_coords": [[0.000, 0.000, 0.500], [0.000, 0.500, 0.000], [0.500, 0.000, 0.000], [0.000, 0.000, 0.000], [0.500, 0.500, 0.500]], "final_energy_ev_per_atom": -2.877, "formation_energy_uncorrected_ev_per_fu": -3.05, "sg": "No. 123"}

=====

# 3
{"formula": "Cs2K3Au4", "functional": "PBE-GGA", "state": "relaxed", "lattice": [[8.822, 0.035, 0.000], [-2.868, 8.634, 0.000], [0.000, 0.000, 9.109]], "species": ["Au", "Au", "Au", "Au", "Au", "Au", "Au", "Au", "Cs", "Cs", "Cs", "Cs", "K", "K", "K", "K", "K", "K"], "frac_coords": [[0.879, 0.077, 0.535], [0.880, 0.499, 0.113], [0.620, 0.501, 0.613], [0.121, 0.923, 0.465], [0.379, 0.077, 0.965], [0.621, 0.923, 0.035], [0.380, 0.499, 0.387], [0.120, 0.501, 0.887], [0.435, 0.809, 0.673], [0.565, 0.191, 0.327], [0.065, 0.191, 0.173], [0.935, 0.809, 0.827], [0.250, 0.753, 0.176], [0.500, 0.500, 0.000], [0.250, 0.247, 0.676], [0.750, 0.247, 0.824], [0.000, 0.500, 0.500], [0.750, 0.753, 0.324]], "ef_ev_per_atom": -0.315, "final_energy_ev_per_atom": -2.327, "e_above_lowest_polymorph_mev_per_atom": 0, "sg": "No. 14"}

=====

# 4
{"formula": "FeCu3Pt2", "functional": "PBE-GGA", "state": "relaxed", "lattice": [[4.549, -0.383, -0.888], [-1.471, 4.322, -0.888], [0.098, 0.125, 8.337]], "species": ["Cu", "Cu", "Cu", "Cu", "Cu", "Cu", "Pt", "Pt", "Pt", "Pt", "Fe", "Fe"], "frac_coords": [[0.211, 0.461, 0.422], [0.375, 0.625, 0.750], [0.461, 0.211, 0.922], [0.789, 0.539, 0.578], [0.539, 0.789, 0.078], [0.625, 0.375, 0.250], [0.296, 0.046, 0.592], [0.704, 0.954, 0.408], [0.954, 0.704, 0.908], [0.046, 0.296, 0.092], [0.125, 0.875, 0.250], [0.875, 0.125, 0.750]], "ef_ev_per_atom": -0.138, "final_energy_ev_per_atom": -5.610, "sg": "No. 70"}

=====

# 5
{"formula": "SmPuTlAu", "functional": "PBE-GGA", "state": "relaxed", "lattice": [[-4.420, -0.997, -2.792], [-2.463, -4.691, 0.503], [-4.704, -0.284, 2.475]], "species": ["Au", "Sm", "Pu", "Tl"], "frac_coords": [[0.000, 0.000, 0.000], [0.250, 0.250, 0.250], [0.750, 0.750, 0.750], [0.500, 0.500, 0.500]], "ef_ev_per_atom": -0.321, "final_energy_ev_per_atom": -6.494, "sg": "No. 216"}

=====

# 6
{"formula": "MgTlHCl2", "functional": "PBE-GGA", "state": "relaxed", "lattice": [[-3.285, -3.734, 1.745], [3.817, -3.598, -0.513], [1.133, 0.688, 3.608]], "species": ["Cl", "Cl", "H", "Tl", "Mg"], "frac_coords": [[0.000, 0.500, 0.000], [0.500, 0.000, 0.000], [0.000, 0.000, 0.500], [0.500, 0.500, 0.500], [0.000, 0.000, 0.000]], "final_energy_ev_per_atom": -3.173, "sg": "No. 123"}

=====

# 7
{"formula": "PuAlO5", "functional": "PBE-GGA", "state": "relaxed", "lattice": [[5.887, -0.987, -0.999], [-2.540, 5.402, -0.999], [-0.260, -0.343, 7.673]], "species": ["Pu", "Pu", "O", "O", "O", "O", "O", "O", "O", "O", "O", "O", "Al", "Al"], "frac_coords": [[0.000, 0.000, 0.000], [0.000, 0.000, 0.500], [0.350, 0.085, 0.668], [0.915, 0.650, 0.832], [0.593, 0.733, 0.940], [0.267, 0.407, 0.560], [0.079, 0.921, 0.250], [0.733, 0.593, 0.440], [0.921, 0.079, 0.750], [0.085, 0.350, 0.168], [0.407, 0.267, 0.060], [0.650, 0.915, 0.332], [0.542, 0.458, 0.750], [0.458, 0.542, 0.250]], "final_energy_ev_per_atom": -8.276, "formation_energy_uncorrected_ev_per_fu": -15.06, "sg": "No. 15"}

=====

# 8
{"formula": "Cs2DyHg2Se4", "functional": "PBE-GGA", "state": "relaxed", "lattice": [[4.270, 0.000, 0.000], [0.000, 8.860, 0.151], [-2.135, -3.355, 7.782]], "species": ["Se", "Se", "Se", "Se", "Cs", "Cs", "Dy", "Hg", "Hg"], "frac_coords": [[0.180, 0.211, 0.360], [0.820, 0.789, 0.640], [0.522, 0.792, 0.045], [0.478, 0.208, 0.955], [0.128, 0.570, 0.256], [0.872, 0.430, 0.744], [0.000, 0.000, 0.000], [0.688, 0.015, 0.376], [0.312, 0.985, 0.624]], "final_energy_ev_per_atom": -3.304, "formation_energy_uncorrected_ev_per_fu": -8.89, "sg": "No. 12"}

=====

# 9
{"formula": "Pr2InO", "functional": "PBE-GGA", "state": "relaxed", "lattice": [[-3.051, -3.190, 1.754], [1.771, -3.300, -2.920], [6.210, -2.359, 6.461]], "species": ["O", "O", "In", "In", "Pr", "Pr", "Pr", "Pr"], "frac_coords": [[0.250, 0.250, 0.425], [0.750, 0.750, 0.575], [0.749, 0.749, 0.200], [0.251, 0.251, 0.800], [0.250, 0.750, 0.500], [0.249, 0.249, 0.169], [0.750, 0.250, 0.500], [0.751, 0.751, 0.831]], "final_energy_ev_per_atom": -5.863, "e_above_lowest_polymorph_mev_per_atom": 0, "formation_energy_uncorrected_ev_per_fu": -6.19, "sg": "No. 12"}

=====

# 10
{"formula": "Tb4DySn2", "functional": "PBE-GGA", "state": "relaxed", "lattice": [[5.338, 0.000, 0.000], [0.000, 5.338, 0.000], [-2.669, -2.669, 8.213]], "species": ["Tb", "Tb", "Tb", "Tb", "Sn", "Sn", "Dy"], "frac_coords": [[0.500, 0.000, 0.000], [0.185, 0.185, 0.370], [0.000, 0.500, 0.000], [0.815, 0.815, 0.630], [0.629, 0.629, 0.258], [0.371, 0.371, 0.742], [0.000, 0.000, 0.000]], "ef_ev_per_atom": 0.357, "final_energy_ev_per_atom": -4.090, "sg": "No. 139"}

=====

# 11
{"formula": "HfMnSN2", "functional": "PBE-GGA", "state": "relaxed", "lattice": [[4.043, 0.000, 0.000], [0.000, 4.043, 0.000], [0.000, 0.000, 5.296]], "species": ["N", "N", "S", "Mn", "Hf"], "frac_coords": [[0.000, 0.500, 0.000], [0.500, 0.000, 0.000], [0.000, 0.000, 0.500], [0.500, 0.500, 0.500], [0.000, 0.000, 0.000]], "final_energy_ev_per_atom": -7.781, "e_above_lowest_polymorph_mev_per_atom": 150, "formation_energy_uncorrected_ev_per_fu": 0.99, "sg": "No. 123"}

=====

# 12
{"formula": "Bi2Br5", "functional": "PBE-GGA", "state": "relaxed", "lattice": [[6.700, 0.000, 0.000], [0.000, 7.768, 0.002], [-3.350, -1.189, 9.202]], "species": ["Br", "Br", "Br", "Br", "Br", "Br", "Br", "Br", "Br", "Br", "Bi", "Bi", "Bi", "Bi"], "frac_coords": [[0.420, 0.750, 0.000], [0.218, 0.682, 0.584], [0.010, 0.907, 0.194], [0.816, 0.593, 0.806], [0.634, 0.818, 0.416], [0.580, 0.250, 0.000], [0.184, 0.407, 0.194], [0.782, 0.318, 0.416], [0.366, 0.182, 0.584], [0.990, 0.093, 0.806], [0.406, 0.041, 0.232], [0.174, 0.459, 0.768], [0.594, 0.959, 0.768], [0.826, 0.541, 0.232]], "final_energy_ev_per_atom": -2.842, "formation_energy_uncorrected_ev_per_fu": -3.77, "sg": "No. 15"}

=====

# 13
{"formula": "Pr2NdHoTm", "functional": "PBE-GGA", "state": "relaxed", "lattice": [[-6.914, 2.454, -0.181], [-2.758, -7.568, 2.749], [1.880, 5.601, 4.131]], "species": ["Tm", "Tm", "Ho", "Ho", "Nd", "Nd", "Pr", "Pr", "Pr", "Pr"], "frac_coords": [[0.750, 0.007, 0.013], [0.250, 0.993, 0.987], [0.250, 0.267, 0.535], [0.750, 0.733, 0.465], [0.250, 0.727, 0.453], [0.750, 0.273, 0.547], [0.000, 0.695, 0.000], [0.500, 0.695, 0.000], [0.000, 0.305, 0.000], [0.500, 0.305, 0.000]], "ef_ev_per_atom": 0.390, "final_energy_ev_per_atom": -4.286, "sg": "No. 63"}

=====

# 14
{"formula": "LaPdOF2", "functional": "PBE-GGA", "state": "relaxed", "lattice": [[4.670, 0.000, 0.000], [0.000, 4.670, 0.000], [0.000, 0.000, 4.623]], "species": ["F", "F", "La", "O", "Pd"], "frac_coords": [[0.500, 0.000, 0.000], [0.000, 0.500, 0.000], [0.000, 0.000, 0.000], [0.000, 0.000, 0.500], [0.500, 0.500, 0.500]], "final_energy_ev_per_atom": -5.860, "e_above_lowest_polymorph_mev_per_atom": 0, "formation_energy_uncorrected_ev_per_fu": -10.48, "sg": "No. 123"}

=====

# 15
{"formula": "Tm5Hg2RuRh2", "functional": "PBE-GGA", "state": "relaxed", "lattice": [[-0.502, -3.087, 1.555], [-1.080, -4.971, -10.215], [11.241, -1.949, -0.240]], "species": ["Hg", "Hg", "Hg", "Hg", "Tm", "Tm", "Tm", "Tm", "Tm", "Tm", "Tm", "Tm", "Tm", "Tm", "Rh", "Rh", "Rh", "Rh", "Ru", "Ru"], "frac_coords": [[0.000, 0.173, 0.327], [0.000, 0.327, 0.827], [0.000, 0.673, 0.173], [0.000, 0.827, 0.673], [0.500, 0.308, 0.577], [0.500, 0.577, 0.692], [0.500, 0.077, 0.808], [0.500, 0.692, 0.423], [0.500, 0.500, 0.000], [0.500, 0.423, 0.308], [0.500, 0.000, 0.500], [0.500, 0.923, 0.192], [0.500, 0.192, 0.077], [0.500, 0.808, 0.923], [0.000, 0.869, 0.369], [0.000, 0.631, 0.869], [0.000, 0.369, 0.131], [0.000, 0.131, 0.631], [0.000, 0.500, 0.500], [0.000, 0.000, 0.000]], "ef_ev_per_atom": -0.540, "final_energy_ev_per_atom": -5.234, "sg": "No. 127"}

=====

# 16
{"formula": "SrTcCl2", "functional": "PBE-GGA", "state": "relaxed", "lattice": [[3.423, 0.599, 0.000], [-0.599, 3.423, 0.000], [0.000, 0.000, 10.887]], "species": ["Cl", "Cl", "Tc", "Sr"], "frac_coords": [[0.000, 0.000, 0.098], [0.000, 0.000, 0.402], [0.500, 0.500, 0.750], [0.500, 0.500, 0.250]], "final_energy_ev_per_atom": -4.285, "e_above_lowest_polymorph_mev_per_atom": 186, "formation_energy_uncorrected_ev_per_fu": -1.40, "sg": "No. 123"}

=====

# 17
{"formula": "K2ErZrS4", "functional": "PBE-GGA", "state": "relaxed", "lattice": [[3.872, 0.000, 0.000], [0.000, 6.764, 0.131], [0.000, -2.365, 7.353]], "species": ["S", "S", "S", "S", "K", "K", "Er", "Zr"], "frac_coords": [[0.500, 0.757, 0.798], [0.000, 0.725, 0.200], [0.000, 0.275, 0.800], [0.500, 0.243, 0.202], [0.000, 0.500, 0.500], [0.500, 0.000, 0.500], [0.000, 0.000, 0.000], [0.500, 0.500, 0.000]], "final_energy_ev_per_atom": -5.645, "formation_energy_uncorrected_ev_per_fu": -13.34, "sg": "No. 10"}

=====

# 18
{"formula": "Fe2SnGe2", "functional": "PBE-GGA", "state": "relaxed", "lattice": [[-4.152, -0.713, 5.742], [-2.487, -6.161, -2.563], [2.140, -1.434, 1.370]], "species": ["Fe", "Fe", "Fe", "Fe", "Ge", "Ge", "Ge", "Ge", "Sn", "Sn"], "frac_coords": [[0.354, 0.854, 0.000], [0.854, 0.646, 0.000], [0.146, 0.354, 0.000], [0.646, 0.146, 0.000], [0.856, 0.356, 0.500], [0.356, 0.144, 0.500], [0.144, 0.644, 0.500], [0.644, 0.856, 0.500], [0.500, 0.500, 0.000], [0.000, 0.000, 0.000]], "ef_ev_per_atom": 0.196, "final_energy_ev_per_atom": -5.836, "sg": "No. 127"}

=====

# 19
{"formula": "Er3TlRh4", "functional": "PBE-GGA", "state": "relaxed", "lattice": [[-1.765, 0.105, 4.364], [-0.450, -6.843, -0.017], [8.709, -0.581, 3.537]], "species": ["Er", "Er", "Er", "Er", "Er", "Er", "Rh", "Rh", "Rh", "Rh", "Rh", "Rh", "Rh", "Rh", "Tl", "Tl"], "frac_coords": [[0.500, 0.000, 0.750], [0.500, 0.500, 0.250], [0.000, 0.000, 0.000], [0.500, 0.000, 0.250], [0.000, 0.000, 0.500], [0.500, 0.500, 0.750], [0.500, 0.245, 0.000], [0.000, 0.755, 0.250], [0.000, 0.245, 0.750], [0.500, 0.755, 0.500], [0.000, 0.245, 0.250], [0.500, 0.245, 0.500], [0.500, 0.755, 0.000], [0.000, 0.755, 0.750], [0.000, 0.500, 0.000], [0.000, 0.500, 0.500]], "ef_ev_per_atom": -0.747, "final_energy_ev_per_atom": -6.430, "sg": "No. 123"}

=====

# 20
{"formula": "ScBeAsP2", "functional": "PBE-GGA", "state": "relaxed", "lattice": [[4.873, 0.000, 0.000], [0.000, 4.873, 0.000], [0.000, 0.000, 4.752]], "species": ["P", "P", "Be", "As", "Sc"], "frac_coords": [[0.000, 0.500, 0.000], [0.500, 0.000, 0.000], [0.000, 0.000, 0.500], [0.500, 0.500, 0.500], [0.000, 0.000, 0.000]], "ef_ev_per_atom": 0.993, "final_energy_ev_per_atom": -4.113, "sg": "No. 123"}